Record 1
Density functional theory data (PBE) for an optimized crystal structure of CsNd4Se6.

Cell lengths 7.4684, 7.4684, 22.7968 Å; angles 90.00, 90.00, 146.57 degrees
Atoms (fractional coordinates):
Cs1 0.1539 0.8461 0.7500
Cs2 0.8461 0.1539 0.2500
Nd1 0.0999 0.9001 0.1315
Nd2 0.0999 0.9001 0.3685
Nd3 0.3686 0.6314 0.0401
Nd4 0.3686 0.6314 0.4599
Nd5 0.6314 0.3686 0.5401
Nd6 0.6314 0.3686 0.9599
Nd7 0.9001 0.0999 0.6315
Nd8 0.9001 0.0999 0.8685
Se1 0.0000 0.0000 0.0000
Se2 0.0000 0.0000 0.5000
Se3 0.1501 0.8499 0.2500
Se4 0.2701 0.7299 0.5795
Se5 0.2701 0.7299 0.9205
Se6 0.4661 0.5339 0.1492
Se7 0.4661 0.5339 0.3508
Se8 0.5339 0.4661 0.6492
Se9 0.5339 0.4661 0.8508
Se10 0.7299 0.2701 0.0795
Se11 0.7299 0.2701 0.4205
Se12 0.8499 0.1501 0.7500

Space group ... No. 63
Total energy ... -5.4905 eV per atom
Magnetization ... 0.000 μB/atom

***

Record 2
Density functional theory data (PBE) for an optimized crystal structure of CsNd3Se4.

Cell lengths 4.3136, 4.3136, 30.4932 Å; angles 90.00, 90.00, 120.00 degrees
Atoms (fractional coordinates):
Cs1 0.3333 0.6667 0.2500
Cs2 0.6667 0.3333 0.7500
Nd1 0.0000 0.0000 0.0000
Nd2 0.0000 0.0000 0.5000
Nd3 0.3333 0.6667 0.6115
Nd4 0.3333 0.6667 0.8885
Nd5 0.6667 0.3333 0.1115
Nd6 0.6667 0.3333 0.3885
Se1 0.0000 0.0000 0.1647
Se2 0.0000 0.0000 0.3353
Se3 0.0000 0.0000 0.6647
Se4 0.0000 0.0000 0.8353
Se5 0.3333 0.6667 0.0559
Se6 0.3333 0.6667 0.4441
Se7 0.6667 0.3333 0.5559
Se8 0.6667 0.3333 0.9441

Space group ... No. 194
Total energy ... -5.4142 eV per atom
Magnetization ... 0.000 μB/atom

***

Record 3
Density functional theory data (PBE) for an optimized crystal structure of CsNdSe2.

Cell lengths 8.8726, 8.8726, 8.8726 Å; angles 28.64, 28.64, 28.64 degrees
Atoms (fractional coordinates):
Cs1 0.0000 0.0000 0.0000
Nd1 0.8311 0.8311 0.8311
Se1 0.2277 0.2277 0.2277
Se2 0.4343 0.4343 0.4343

Space group ... No. 160
Total energy ... -4.8591 eV per atom
Magnetization ... 0.000 μB/atom